No. 1
# CdPd2O3 | Alexandria via LeMat-Bulk | PBEsol | relaxed
# Final energy in Ry per atom: -0.3626
# DOS(E_F) in states/eV/f.u.: 5.78
# Crystal system: tetragonal
# Formation energy from raw total energies in eV/atom: -0.12
data_CdPd2O3
_symmetry_space_group_name_H-M 'P 4/m m m'
_symmetry_Int_Tables_number 123
_symmetry_space_group_name_Hall '-P 4 2'
_cell_length_a 4.532
_cell_length_b 4.532
_cell_length_c 4.156
_cell_angle_alpha 90.00
_cell_angle_beta 90.00
_cell_angle_gamma 90.00
loop_
_atom_site_label
_atom_site_fract_x
_atom_site_fract_y
_atom_site_fract_z
Cd1 0.000 0.000 0.000
Pd1 0.000 0.500 0.500
O1 0.000 0.000 0.500
O2 0.000 0.500 0.000



No. 2
# CdRePdO2 | Alexandria via LeMat-Bulk | PBEsol | relaxed
# Final energy in Ry per atom: -0.4880
# DOS(E_F) in states/eV/f.u.: 1.92
# Crystal system: tetragonal
# Formation energy from raw total energies in eV/atom: -0.44
data_CdRePdO2
_symmetry_space_group_name_H-M 'P 4/m m m'
_symmetry_Int_Tables_number 123
_symmetry_space_group_name_Hall '-P 4 2'
_cell_length_a 3.732
_cell_length_b 3.732
_cell_length_c 5.924
_cell_angle_alpha 90.00
_cell_angle_beta 90.00
_cell_angle_gamma 90.00
loop_
_atom_site_label
_atom_site_fract_x
_atom_site_fract_y
_atom_site_fract_z
Cd1 0.000 0.000 0.000
Re1 0.000 0.000 0.500
Pd1 0.500 0.500 0.000
O1 0.000 0.500 0.500



No. 3
# CdPtO3 | Alexandria via LeMat-Bulk | PBEsol | relaxed
# Final energy in Ry per atom: -0.3677
# DOS(E_F) in states/eV/f.u.: 6.06
# Crystal system: cubic
# Formation energy from raw total energies in eV/atom: -0.22
data_CdPtO3
_symmetry_space_group_name_H-M 'P m -3 m'
_symmetry_Int_Tables_number 221
_symmetry_space_group_name_Hall '-P 4 2 3'
_cell_length_a 3.936
_cell_length_b 3.936
_cell_length_c 3.936
_cell_angle_alpha 90.00
_cell_angle_beta 90.00
_cell_angle_gamma 90.00
loop_
_atom_site_label
_atom_site_fract_x
_atom_site_fract_y
_atom_site_fract_z
Cd1 0.000 0.000 0.000
Pt1 0.500 0.500 0.500
O1 0.000 0.500 0.500



No. 4
# Rb2CdO | Alexandria via LeMat-Bulk | PBEsol | relaxed
# Final energy in Ry per atom: -0.1723
# Crystal system: cubic
# Formation energy from raw total energies in eV/atom: -0.22
data_Rb2CdO
_symmetry_space_group_name_H-M 'F m -3 m'
_symmetry_Int_Tables_number 225
_symmetry_space_group_name_Hall '-F 4 2 3'
_cell_length_a 7.585
_cell_length_b 7.585
_cell_length_c 7.585
_cell_angle_alpha 90.00
_cell_angle_beta 90.00
_cell_angle_gamma 90.00
loop_
_atom_site_label
_atom_site_fract_x
_atom_site_fract_y
_atom_site_fract_z
Rb1 0.250 0.250 0.250
Cd1 0.000 0.000 0.000
O1 0.000 0.000 0.500



Q: What is the final energy in the fourth record?
A: -0.1723 Ry per atom